Record 1
Density functional theory data (PBE) for an optimized crystal structure of Be3TeF.

As for the crystal system: cubic. For the energy above the most stable polymorph in this dataset, the calculation gives 64.1 kJ per mole of atoms. As for the total magnetic moment: 0.000 μB/cell.

The structure belongs to space group Pm-3m (No. 221); the cell edges are 4.872, 4.872 and 4.872 Å and the angles 90.00°, 90.00° and 90.00°. The asymmetric unit holds Be at (0.000, 0.000, 0.500), Te at (0.000, 0.000, 0.000) and F at (0.500, 0.500, 0.500).

=====

Record 2
Density functional theory data (PBE) for an optimized crystal structure of TcTePt2Se.

As for the crystal system: tetragonal. As for the total magnetic moment: 4.739 μB/cell. The value obtained for the total energy is -4.519 eV/atom.

The structure belongs to space group P4/mmm (No. 123); the cell edges are 4.918, 4.918 and 5.467 Å and the angles 90.00°, 90.00° and 90.00°. The asymmetric unit holds Tc at (0.000, 0.000, 0.000), Te at (0.500, 0.500, 0.500), Pt at (0.000, 0.500, 0.500) and Se at (0.500, 0.500, 0.000).

=====

Record 3
Density functional theory data (PBE) for an optimized crystal structure of Tm3GeSb2.

As for the crystal system: monoclinic. As for the total magnetic moment: 0.000 μB/cell. The value obtained for the total energy is -5.283 eV/atom.

The structure belongs to space group C2/c (No. 15); the cell edges are 7.442, 12.800 and 7.292 Å and the angles 90.00°, 109.60° and 90.00°. The asymmetric unit holds Tm at (0.231, 0.078, 0.494), Tm at (0.250, 0.250, 0.000), Ge at (0.000, 0.088, 0.750), Sb at (0.000, 0.257, 0.250) and Sb at (0.000, 0.418, 0.750).

=====

Record 4
Density functional theory data (PBE) for an optimized crystal structure of RuC3Br2O3.

As for the crystal system: monoclinic. As for the total magnetic moment: 0.408 μB/cell. The value obtained for the total energy is -6.816 eV/atom.

The structure belongs to space group C2/m (No. 12); the cell edges are 11.230, 7.893 and 10.010 Å and the angles 90.00°, 106.45° and 90.00°. The asymmetric unit holds Ru at (0.060, 0.000, 0.201), C at (0.091, 0.173, 0.337), C at (0.227, 0.000, 0.189), Br at (0.000, 0.224, 0.000), Br at (0.163, 0.000, 0.780), O at (0.108, 0.280, 0.419) and O at (0.170, 0.500, 0.811).

=====

Record 5
Density functional theory data (PBE) for an optimized crystal structure of K2Li2Zn.

As for the crystal system: tetragonal. For the energy above the most stable polymorph in this dataset, the calculation gives 8.7 kJ per mole of atoms. As for the total magnetic moment: 0.000 μB/cell.

The structure belongs to space group I4/mmm (No. 139); the cell edges are 6.865, 6.865 and 8.249 Å and the angles 90.00°, 90.00° and 90.00°. The asymmetric unit holds K at (0.000, 0.500, 0.250), Li at (0.000, 0.000, 0.171) and Zn at (0.000, 0.000, 0.500).

=====

Record 6
Density functional theory data (PBE) for an optimized crystal structure of ErScPb.

As for the crystal system: trigonal. For the energy above the most stable polymorph in this dataset, the calculation gives 22.4 kJ per mole of atoms. As for the total magnetic moment: 0.001 μB/cell.

The structure belongs to space group P3m1 (No. 156); the cell edges are 5.1084, 5.1084 and 3.5971 Å and the angles 90.00°, 90.00° and 120.00°. The asymmetric unit holds Er at (0.0000, 0.0000, 0.0000), Sc at (0.6667, 0.3333, 0.4809) and Pb at (0.3333, 0.6667, 0.5754).

=====

Record 7
Density functional theory data (PBE) for an optimized crystal structure of Mg2IrPt.

As for the crystal system: orthorhombic. As for the total magnetic moment: 0.000 μB/cell. The value obtained for the total energy is -4.912 eV/atom.

The structure belongs to space group Pmm2 (No. 25); the cell edges are 2.789, 4.180 and 5.503 Å and the angles 90.00°, 90.00° and 90.00°. The asymmetric unit holds Mg at (0.000, 0.000, 0.000), Mg at (0.500, 0.500, 0.302), Ir at (0.500, 0.500, 0.799) and Pt at (0.000, 0.000, 0.506).

=====

Record 8
Density functional theory data (PBE) for an optimized crystal structure of Sc2Mn2Rh.

As for the crystal system: tetragonal. As for the total magnetic moment: 3.323 μB/cell. The value obtained for the total energy is -7.820 eV/atom.

The structure belongs to space group P4/mbm (No. 127); the cell edges are 6.256, 6.256 and 4.166 Å and the angles 90.00°, 90.00° and 90.00°. The asymmetric unit holds Sc at (0.181, 0.319, 0.000), Mn at (0.114, 0.614, 0.500) and Rh at (0.000, 0.000, 0.500).

=====

Record 9
Density functional theory data (PBE) for an optimized crystal structure of VZnCu3.

As for the crystal system: cubic. For the energy above the most stable polymorph in this dataset, the calculation gives 40.6 kJ per mole of atoms. As for the total magnetic moment: 2.555 μB/cell.

The structure belongs to space group Pm-3m (No. 221); the cell edges are 4.586, 4.586 and 4.586 Å and the angles 90.00°, 90.00° and 90.00°. The asymmetric unit holds V at (0.000, 0.000, 0.000), Zn at (0.500, 0.500, 0.500) and Cu at (0.000, 0.000, 0.500).

=====

Record 10
Density functional theory data (PBE) for an optimized crystal structure of Ce5Pt2Rh.

As for the crystal system: orthorhombic. As for the total magnetic moment: 7.003 μB/cell. The value obtained for the total energy is -6.819 eV/atom.

The structure belongs to space group Cmcm (No. 63); the cell edges are 4.808, 10.247 and 15.345 Å and the angles 90.00°, 90.00° and 90.00°. The asymmetric unit holds Ce at (0.000, 0.071, 0.083), Ce at (0.000, 0.268, 0.750), Ce at (0.000, 0.415, 0.113), Pt at (0.000, 0.256, 0.566) and Rh at (0.000, 0.048, 0.250).